A PBEsol-optimized structure of Be2Rh, computed with SCAN.

Output
VASP energy   -14.724 eV per atom
Space-group type   Fd-3m
Energy relative to the elements   -1.69 eV/f.u.

Cell lengths 4.304, 4.304, 4.304 Å; angles 60.00, 60.00, 60.00 degrees
Sites, in units of the cell vectors:
Be  0.000  0.000  0.000
Be  0.000  0.000  0.500
Be  0.000  0.500  0.000
Be  0.500  0.000  0.000
Rh  0.375  0.375  0.375
Rh  0.625  0.625  0.625

=====

A PBEsol-optimized structure of ScSnAu3, computed with SCAN.

Output
VASP energy   -51.237 eV per atom
Space-group type   Pm-3m
Energy relative to the elements   1.44 eV/f.u.

Cell lengths 5.010, 5.010, 5.010 Å; angles 90.00, 90.00, 90.00 degrees
Sites, in units of the cell vectors:
Sc  0.000  0.000  0.000
Sn  0.500  0.500  0.500
Au  0.000  0.500  0.500
Au  0.500  0.000  0.500
Au  0.500  0.500  0.000

=====

A PBEsol-optimized structure of Cr2ReSe, computed with SCAN.

Output
Raw formation energy   248 meV per atom
VASP energy   -31.738 eV per atom
Space-group type   P4/mmm

Cell lengths 2.915, 2.915, 6.127 Å; angles 90.00, 90.00, 90.00 degrees
Sites, in units of the cell vectors:
Cr  0.000  0.000  0.249
Cr  0.000  0.000  0.751
Re  0.500  0.500  0.500
Se  0.500  0.500  0.000

=====

A PBEsol-optimized structure of HfTl2SiRu, computed with SCAN.

Output
Raw formation energy   1214 meV per atom
VASP energy   -49.232 eV per atom
Space-group type   P4/mmm

Cell lengths 4.880, 4.880, 4.924 Å; angles 90.00, 90.00, 90.00 degrees
Sites, in units of the cell vectors:
Hf  0.000  0.000  0.000
Tl  0.000  0.500  0.500
Tl  0.500  0.000  0.500
Si  0.000  0.000  0.500
Ru  0.500  0.500  0.000

=====

A PBEsol-optimized structure of CaEuHg2, computed with SCAN.

Output
VASP energy   -50.655 eV per atom
Space-group type   Fm-3m
Energy relative to the elements   -2.91 eV/f.u.

Cell lengths 5.302, 5.302, 5.302 Å; angles 60.00, 60.00, 60.00 degrees
Sites, in units of the cell vectors:
Ca  0.000  0.000  0.000
Eu  0.500  0.500  0.500
Hg  0.250  0.250  0.250
Hg  0.750  0.750  0.750

=====

A PBEsol-optimized structure of ZnIn2Cl, computed with SCAN.

Output
Raw formation energy   -155 meV per atom
VASP energy   -22.222 eV per atom
Space-group type   P4/mmm

Cell lengths 3.388, 3.388, 7.731 Å; angles 90.00, 90.00, 90.00 degrees
Sites, in units of the cell vectors:
Zn  0.000  0.000  0.000
In  0.500  0.500  0.230
In  0.500  0.500  0.770
Cl  0.000  0.000  0.500